[1]
Here is a relaxed OsPd2O crystal from the Alexandria database. Energies are from PBE.

POSCAR file:
```
OsPd2O
1.0
6.6306 0.0000 0.0000
0.0000 6.6306 0.0000
3.3153 3.3153 2.5242
Os O Pd
2 2 4
Direct
0.0000 0.0000 0.0000
0.7500 0.2500 0.5000
0.5000 0.5000 0.0000
0.2500 0.7500 0.5000
0.5788 0.1250 0.2500
0.1712 0.6250 0.2500
0.3750 0.4212 0.7500
0.8750 0.8288 0.7500
```

Calculated values
Energy relative to the elements, uncorrected: 0.727 eV/atom
Total magnetic moment: 3.55 Bohr magnetons per cell

[2]
Here is a relaxed LiNbN3 crystal from the Alexandria database. Energies are from PBE.

POSCAR file:
```
LiNbN3
1.0
3.4835 0.0000 0.0000
0.0000 3.4835 0.0000
0.0000 0.0000 3.4835
Nb Li N
1 1 3
Direct
0.5000 0.5000 0.5000
0.0000 0.0000 0.0000
0.0000 0.5000 0.0000
0.0000 0.0000 0.5000
0.5000 0.0000 0.0000
```

Calculated values
Energy relative to the elements, uncorrected: 1.136 eV/atom
Total magnetic moment: 0.00 Bohr magnetons per cell

[3]
Here is a relaxed Y2MgAl crystal from the Alexandria database. Energies are from PBE.

POSCAR file:
```
Y2MgAl
1.0
4.1230 2.0491 2.4378
-0.6899 3.5554 3.7450
0.9646 -1.2305 4.9696
Y Mg Al
2 1 1
Direct
0.2500 0.2500 0.2500
0.7500 0.7500 0.7500
0.0000 0.0000 0.0000
0.5000 0.5000 0.5000
```

Calculated values
Excess energy over the best structure of this formula in the dataset: 0.0000 eV per atom
Total magnetic moment: 0.00 Bohr magnetons per cell

[4]
Here is a relaxed NbAl2OsBr crystal from the Alexandria database. Energies are from PBE.

POSCAR file:
```
NbAl2OsBr
1.0
5.3003 0.0000 0.0000
0.0000 4.7277 0.0000
0.0000 0.0000 5.3003
Nb Os Al Br
1 1 2 1
Direct
0.0000 0.0000 0.0000
0.0000 0.5000 0.0000
0.0000 0.0000 0.5000
0.5000 0.0000 0.0000
0.5000 0.5000 0.5000
```

Calculated values
Energy relative to the elements, uncorrected: 1.244 eV/atom
Total magnetic moment: 0.60 Bohr magnetons per cell